Pm4NdSe7: relaxed, PBE-GGA.

Theoretical density, Mg/m³: 6.22
E_form (uncorrected), eV/atom: -1.880
Volume, A^3/atom: 28.43
D(E_F), states/eV/atom: 0.14
Crystal system: monoclinic
DFT total energy, Ha/atom: -0.2166

abc: 7.212 7.212 12.477
angles: 104.00 104.00 32.91
Sites, in units of the cell vectors:
Pm (0.000, 0.000, 0.000)
Pm (0.187, 0.187, 0.767)
Pm (0.587, 0.587, 0.391)
Pm (0.887, 0.887, 0.579)
Nd (0.775, 0.775, 0.158)
Se (0.145, 0.145, 0.229)
Se (0.227, 0.227, 0.529)
Se (0.388, 0.388, 0.078)
Se (0.547, 0.547, 0.629)
Se (0.627, 0.627, 0.929)
Se (0.846, 0.846, 0.795)
Se (0.929, 0.929, 0.365)

=====

ZrMnZnRh: relaxed, PBE-GGA.

Theoretical density, Mg/m³: 7.92
Formation enthalpy at 0 K, meV/atom: -262.5
Volume, A^3/atom: 16.49
D(E_F), states/eV/atom: 0.78
Crystal system: cubic
DFT total energy, Ha/atom: -0.2517

abc: 6.414 6.414 6.414
angles: 90.00 90.00 90.00
Sites, in units of the cell vectors:
Zr (0.000, 0.000, 0.000)
Zr (0.000, 0.500, 0.500)
Zr (0.500, 0.000, 0.500)
Zr (0.500, 0.500, 0.000)
Mn (0.000, 0.000, 0.500)
Mn (0.000, 0.500, 0.000)
Mn (0.500, 0.000, 0.000)
Mn (0.500, 0.500, 0.500)
Zn (0.250, 0.250, 0.250)
Zn (0.250, 0.750, 0.750)
Zn (0.750, 0.250, 0.750)
Zn (0.750, 0.750, 0.250)
Rh (0.250, 0.250, 0.750)
Rh (0.250, 0.750, 0.250)
Rh (0.750, 0.250, 0.250)
Rh (0.750, 0.750, 0.750)

=====

BaSr2Zn: relaxed, PBE-GGA.

Theoretical density, Mg/m³: 3.24
Formation enthalpy at 0 K, meV/atom: -1.8
Volume, A^3/atom: 48.36
D(E_F), states/eV/atom: 1.40
Crystal system: trigonal
DFT total energy, Ha/atom: -0.0603

abc: 4.373 4.373 35.037
angles: 90.00 90.00 120.00
Sites, in units of the cell vectors:
Ba (0.000, 0.000, 0.000)
Ba (0.333, 0.667, 0.667)
Ba (0.667, 0.333, 0.333)
Sr (0.000, 0.000, 0.542)
Sr (0.000, 0.000, 0.773)
Sr (0.333, 0.667, 0.209)
Sr (0.333, 0.667, 0.440)
Sr (0.667, 0.333, 0.107)
Sr (0.667, 0.333, 0.875)
Zn (0.000, 0.000, 0.268)
Zn (0.333, 0.667, 0.935)
Zn (0.667, 0.333, 0.602)

=====

PuCdGa4: relaxed, PBE-GGA.

Theoretical density, Mg/m³: 8.67
Formation enthalpy at 0 K, meV/atom: -114.9
Volume, A^3/atom: 20.29
D(E_F), states/eV/atom: 1.92
Crystal system: cubic
DFT total energy, Ha/atom: -0.1718

abc: 5.563 5.563 5.563
angles: 60.00 60.00 60.00
Sites, in units of the cell vectors:
Pu (0.000, 0.000, 0.000)
Cd (0.250, 0.250, 0.250)
Ga (0.123, 0.626, 0.626)
Ga (0.626, 0.123, 0.626)
Ga (0.626, 0.626, 0.123)
Ga (0.626, 0.626, 0.626)

=====

Ni2TePb: relaxed, PBE-GGA.

Theoretical density, Mg/m³: 9.83
E_form (uncorrected), eV/atom: 0.315
Volume, A^3/atom: 19.09
D(E_F), states/eV/atom: 0.71
Crystal system: tetragonal
DFT total energy, Ha/atom: -0.1576
Offset from the most stable computed form, meV per atom: 398

abc: 3.816 3.816 10.486
angles: 90.00 90.00 90.00
Sites, in units of the cell vectors:
Ni (0.000, 0.000, 0.000)
Ni (0.000, 0.500, 0.250)
Ni (0.500, 0.000, 0.750)
Ni (0.500, 0.500, 0.500)
Te (0.000, 0.000, 0.500)
Te (0.500, 0.500, 0.000)
Pb (0.000, 0.500, 0.750)
Pb (0.500, 0.000, 0.250)

=====

CaHgSbF2: relaxed, PBE-GGA.

Theoretical density, Mg/m³: 5.46
E_form (uncorrected), eV/atom: -1.260
Volume, A^3/atom: 24.34
D(E_F), states/eV/atom: 0.27
Crystal system: tetragonal
DFT total energy, Ha/atom: -0.1210

abc: 4.542 4.542 5.898
angles: 90.00 90.00 90.00
Sites, in units of the cell vectors:
Ca (0.000, 0.000, 0.000)
Hg (0.500, 0.500, 0.000)
Sb (0.500, 0.500, 0.500)
F (0.000, 0.500, 0.500)
F (0.500, 0.000, 0.500)

=====

Q: Among the records above, which one has the highest volume?
A: BaSr2Zn

=====

Q: Among the records above, which one has the highest DFT total energy?
A: BaSr2Zn

=====

Q: The lowest theoretical density belongs to which entry?
A: BaSr2Zn